[1]
Computed, not measured: an optimized crystal structure of TbCe4Si4 at the PBE level of DFT.

Cell lengths 8.6656, 8.6656, 6.0610 Å; angles 90.00, 90.00, 90.00 degrees
Sites, in units of the cell vectors:
Tb  0.2500  0.2500  0.2500
Tb  0.7500  0.7500  0.7500
Ce  0.0532  0.6446  0.0910
Ce  0.1446  0.9468  0.5910
Ce  0.3554  0.5532  0.5910
Ce  0.4468  0.8554  0.0910
Ce  0.5532  0.1446  0.9090
Ce  0.6446  0.4468  0.4090
Ce  0.8554  0.0532  0.4090
Ce  0.9468  0.3554  0.9090
Si  0.0230  0.6221  0.5890
Si  0.1221  0.9770  0.0890
Si  0.3779  0.5230  0.0890
Si  0.4770  0.8779  0.5890
Si  0.5230  0.1221  0.4110
Si  0.6221  0.4770  0.9110
Si  0.8779  0.0230  0.9110
Si  0.9770  0.3779  0.4110

## Properties
Total moment: 6.42 μB per cell
E: -5.9736 eV per atom
Mass density: 6.1 Mg/m³
Formation energy without anion corrections: -0.412 eV per atom

[2]
Computed, not measured: an optimized crystal structure of Tb2Ce2Si3 at the PBE level of DFT.

Cell lengths 13.4501, 4.2463, 7.0808 Å; angles 90.00, 100.21, 90.00 degrees
Sites, in units of the cell vectors:
Tb  0.1314  0.0000  0.3692
Tb  0.3686  0.5000  0.6308
Tb  0.6314  0.5000  0.3692
Tb  0.8686  0.0000  0.6308
Ce  0.1236  0.5000  0.8703
Ce  0.3764  0.0000  0.1297
Ce  0.6236  0.0000  0.8703
Ce  0.8764  0.5000  0.1297
Si  0.0000  0.0000  0.0000
Si  0.2486  0.0000  0.7519
Si  0.2514  0.5000  0.2481
Si  0.5000  0.5000  0.0000
Si  0.7486  0.5000  0.7519
Si  0.7514  0.0000  0.2481

## Properties
Total moment: 3.16 μB per cell
E: -5.7416 eV per atom
Mass density: 5.7 Mg/m³
Formation energy without anion corrections: -0.399 eV per atom

[3]
Computed, not measured: an optimized crystal structure of CeSiTc2 at the PBE level of DFT.

Cell lengths 4.4247, 4.4247, 3.3826 Å; angles 90.00, 90.00, 90.00 degrees
Sites, in units of the cell vectors:
Ce  0.0000  0.0000  0.0000
Si  0.5000  0.5000  0.0000
Tc  0.0000  0.5000  0.5000
Tc  0.5000  0.0000  0.5000

## Properties
Total moment: 0.00 μB per cell
E: -8.2138 eV per atom
Energy relative to the lowest polymorph listed for this composition: 92.4 meV/atom
Mass density: 9.1 Mg/m³
Formation energy without anion corrections: -0.192 eV per atom

[4]
Computed, not measured: an optimized crystal structure of CeSiTc2 at the PBE level of DFT.

Cell lengths 4.1430, 4.1430, 8.5417 Å; angles 90.00, 90.00, 90.00 degrees
Sites, in units of the cell vectors:
Ce  0.2500  0.2500  0.2244
Ce  0.7500  0.7500  0.7756
Si  0.2500  0.2500  0.6537
Si  0.7500  0.7500  0.3463
Tc  0.2500  0.2500  0.9586
Tc  0.2500  0.7500  0.5000
Tc  0.7500  0.2500  0.5000
Tc  0.7500  0.7500  0.0414

## Properties
Total moment: 0.60 μB per cell
E: -8.3062 eV per atom
Energy relative to the lowest polymorph listed for this composition: 0.0 meV/atom
Mass density: 8.2 Mg/m³
Formation energy without anion corrections: -0.284 eV per atom

[5]
Computed, not measured: an optimized crystal structure of CeSi3Tc3 at the PBE level of DFT.

Cell lengths 6.5859, 6.5859, 6.5859 Å; angles 90.00, 90.00, 90.00 degrees
Sites, in units of the cell vectors:
Ce  0.0000  0.0000  0.0000
Ce  0.5000  0.5000  0.5000
Si  0.0000  0.2500  0.5000
Si  0.0000  0.7500  0.5000
Si  0.2500  0.5000  0.0000
Si  0.5000  0.0000  0.2500
Si  0.5000  0.0000  0.7500
Si  0.7500  0.5000  0.0000
Tc  0.0000  0.5000  0.2500
Tc  0.0000  0.5000  0.7500
Tc  0.2500  0.0000  0.5000
Tc  0.5000  0.2500  0.0000
Tc  0.5000  0.7500  0.0000
Tc  0.7500  0.0000  0.5000

## Properties
Total moment: 5.01 μB per cell
E: -7.5033 eV per atom
Mass density: 6.0 Mg/m³
Formation energy without anion corrections: 0.111 eV per atom

[6]
Computed, not measured: an optimized crystal structure of CeSi3Tc at the PBE level of DFT.

Cell lengths 4.1780, 4.1780, 10.2506 Å; angles 90.00, 90.00, 90.00 degrees
Sites, in units of the cell vectors:
Ce  0.0000  0.0000  0.0000
Ce  0.5000  0.5000  0.5000
Si  0.0000  0.0000  0.4327
Si  0.0000  0.5000  0.2757
Si  0.0000  0.5000  0.7757
Si  0.5000  0.0000  0.2757
Si  0.5000  0.0000  0.7757
Si  0.5000  0.5000  0.9327
Tc  0.0000  0.0000  0.6639
Tc  0.5000  0.5000  0.1639

## Properties
Total moment: 0.00 μB per cell
E: -7.0745 eV per atom
Energy relative to the lowest polymorph listed for this composition: 0.0 meV/atom
Mass density: 6.0 Mg/m³
Formation energy without anion corrections: -0.561 eV per atom

[7]
Computed, not measured: an optimized crystal structure of Ce2Si4Tc5 at the PBE level of DFT.

Cell lengths 8.3964, 7.3956, 5.7224 Å; angles 78.45, 59.65, 41.89 degrees
Sites, in units of the cell vectors:
Ce  0.1290  0.1290  0.8710
Ce  0.8710  0.8710  0.1290
Si  0.2171  0.5130  0.4870
Si  0.4870  0.7829  0.2171
Si  0.5130  0.2171  0.7829
Si  0.7829  0.4870  0.5130
Tc  0.0000  0.0000  0.5000
Tc  0.2500  0.2500  0.2500
Tc  0.5000  0.5000  0.0000
Tc  0.5000  0.5000  0.5000
Tc  0.7500  0.7500  0.7500

## Properties
Total moment: 0.23 μB per cell
E: -8.2282 eV per atom
Mass density: 7.5 Mg/m³
Formation energy without anion corrections: -0.466 eV per atom

[8]
Computed, not measured: an optimized crystal structure of CeSiTc2 at the PBE level of DFT.

Cell lengths 3.2440, 3.2440, 6.3905 Å; angles 90.00, 90.00, 90.00 degrees
Sites, in units of the cell vectors:
Ce  0.0000  0.0000  0.0000
Si  0.0000  0.0000  0.5000
Tc  0.5000  0.5000  0.2920
Tc  0.5000  0.5000  0.7080

## Properties
Total moment: 0.00 μB per cell
E: -8.1163 eV per atom
Energy relative to the lowest polymorph listed for this composition: 189.9 meV/atom
Mass density: 9.0 Mg/m³
Formation energy without anion corrections: -0.094 eV per atom

[9]
Computed, not measured: an optimized crystal structure of Ce4SiTc4 at the PBE level of DFT.

Cell lengths 7.1330, 7.1330, 7.1330 Å; angles 95.21, 95.21, 144.91 degrees
Sites, in units of the cell vectors:
Ce  0.1008  0.6990  0.7997
Ce  0.3010  0.1008  0.4018
Ce  0.6990  0.8992  0.5982
Ce  0.8992  0.3010  0.2003
Si  0.0000  0.0000  0.0000
Tc  0.3014  0.4649  0.7663
Tc  0.4649  0.6986  0.1635
Tc  0.5351  0.3014  0.8365
Tc  0.6986  0.5351  0.2337

## Properties
Total moment: 0.00 μB per cell
E: -7.7887 eV per atom
Mass density: 8.2 Mg/m³
Formation energy without anion corrections: 0.058 eV per atom

[10]
Computed, not measured: an optimized crystal structure of CeSi3Tc2 at the PBE level of DFT.

Cell lengths 6.0100, 6.0100, 5.7903 Å; angles 90.00, 90.00, 75.92 degrees
Sites, in units of the cell vectors:
Ce  0.1600  0.8400  0.7500
Ce  0.8400  0.1600  0.2500
Si  0.0370  0.6158  0.2500
Si  0.3842  0.9630  0.2500
Si  0.4410  0.5590  0.2500
Si  0.5590  0.4410  0.7500
Si  0.6158  0.0370  0.7500
Si  0.9630  0.3842  0.7500
Tc  0.2960  0.2960  0.0000
Tc  0.2960  0.2960  0.5000
Tc  0.7040  0.7040  0.0000
Tc  0.7040  0.7040  0.5000

## Properties
Total moment: 0.83 μB per cell
E: -7.7108 eV per atom
Mass density: 6.9 Mg/m³
Formation energy without anion corrections: -0.555 eV per atom